KPN2O | PBE-GGA | optimized geometry

```
KPN2O
1.0
5.293 0.000 0.000
0.000 5.293 0.000
0.000 0.000 4.707
P K O N
1 1 1 2
Direct
0.500 0.500 0.500
0.000 0.000 0.000
0.000 0.000 0.500
0.000 0.500 0.000
0.500 0.000 0.000
```

## Properties
crystal system	tetragonal
E_form (uncorrected)	2.58	eV per atom
total magnetic moment	4.0	μB/f.u.


Nd4Er3Sc4 | PBE-GGA | optimized geometry

```
Nd4Er3Sc4
1.0
-0.279 0.136 -3.425
-2.404 -4.945 -0.001
-16.801 5.115 -0.153
Nd Er Sc
4 3 4
Direct
0.591 0.091 0.818
0.270 0.269 0.461
0.731 0.731 0.539
0.409 0.909 0.182
0.136 0.636 0.729
0.864 0.364 0.271
0.000 0.000 0.000
0.544 0.544 0.912
0.456 0.456 0.088
0.319 0.819 0.361
0.681 0.181 0.639
```

## Properties
crystal system	triclinic
total magnetic moment	0.0	μB/f.u.
energy relative to the elements	0.0834	eV/atom


Ba2PrInSe5 | PBE-GGA | optimized geometry

```
Ba2PrInSe5
1.0
-2.130 3.426 -1.703
3.217 -4.825 -8.100
-11.412 -7.212 -0.236
Ba Pr In Se
4 2 2 10
Direct
0.871 0.743 0.818
0.116 0.233 0.684
0.129 0.257 0.318
0.884 0.767 0.184
0.789 0.577 0.521
0.211 0.423 0.021
0.554 0.107 0.940
0.446 0.893 0.440
0.359 0.717 0.004
0.684 0.369 0.867
0.496 0.992 0.769
0.291 0.582 0.668
0.952 0.904 0.553
0.641 0.283 0.504
0.316 0.631 0.367
0.504 0.008 0.269
0.709 0.418 0.168
0.048 0.096 0.053
```

## Properties
crystal system	orthorhombic
E_form (uncorrected)	-1.63	eV per atom
total magnetic moment	0.0	μB/f.u.


TmGa12Cu6 | PBE-GGA | optimized geometry

```
TmGa12Cu6
1.0
7.132 -0.023 -0.033
-1.791 6.904 -0.033
-1.791 -2.307 6.507
Tm Ga Cu
1 12 6
Direct
0.000 0.000 0.000
0.887 0.113 0.500
0.861 0.610 0.610
0.610 0.610 0.861
0.390 0.139 0.390
0.390 0.390 0.139
0.139 0.390 0.390
0.113 0.500 0.887
0.500 0.887 0.113
0.113 0.887 0.500
0.887 0.500 0.113
0.500 0.113 0.887
0.610 0.861 0.610
0.711 0.290 0.290
0.290 0.290 0.711
0.290 0.711 0.290
0.710 0.710 0.289
0.289 0.710 0.710
0.710 0.289 0.710
```

## Properties
crystal system	trigonal
total magnetic moment	0.0	μB/f.u.
energy relative to the elements	-0.0580	eV/atom


BPtF3 | PBE-GGA | optimized geometry

```
BPtF3
1.0
-2.145 2.555 -2.659
-3.234 -2.781 -0.063
-1.771 1.984 3.336
B Pt F
1 1 3
Direct
0.500 0.500 0.500
0.000 0.000 0.000
0.000 0.500 0.000
0.000 0.000 0.500
0.500 0.000 0.000
```

## Properties
polymorph energy (0 for the lowest one)	56.8	kJ/mol of formula units
crystal system	cubic
E_form (uncorrected)	0.10	eV per atom
total magnetic moment	0.0	μB/f.u.


TbTmIrRh | PBE-GGA | optimized geometry

```
TbTmIrRh
1.0
4.822 0.000 0.000
2.411 4.176 0.000
2.411 1.392 3.937
Tb Ir Tm Rh
1 1 1 1
Direct
0.750 0.750 0.750
0.000 0.000 0.000
0.250 0.250 0.250
0.500 0.500 0.500
```

## Properties
crystal system	cubic
total magnetic moment	0.0	μB/f.u.
energy relative to the elements	-0.8993	eV/atom


Li2CaGe2Pt | PBE-GGA | optimized geometry

```
Li2CaGe2Pt
1.0
3.841 0.000 0.000
0.000 3.841 0.000
-1.921 -1.921 9.891
Li Ca Ge Pt
2 1 2 1
Direct
0.250 0.750 0.500
0.750 0.250 0.500
0.500 0.500 0.000
0.351 0.351 0.702
0.649 0.649 0.298
0.000 0.000 0.000
```

## Properties
crystal system	tetragonal
total magnetic moment	0.0	μB/f.u.
energy relative to the elements	0.3220	eV/atom


Dy4YGe4 | PBE-GGA | optimized geometry

```
Dy4YGe4
1.0
-4.560 -1.651 3.229
-4.674 -1.943 -7.594
3.229 -8.533 0.196
Dy Y Ge
8 2 8
Direct
0.386 0.329 0.906
0.886 0.594 0.829
0.386 0.671 0.094
0.114 0.171 0.594
0.614 0.906 0.671
0.114 0.829 0.406
0.886 0.406 0.171
0.614 0.094 0.329
0.000 0.000 0.000
0.500 0.500 0.500
0.614 0.777 0.368
0.614 0.223 0.632
0.114 0.868 0.723
0.886 0.277 0.868
0.886 0.723 0.132
0.386 0.368 0.223
0.386 0.632 0.777
0.114 0.132 0.277
```

## Properties
crystal system	tetragonal
total magnetic moment	0.0	μB/f.u.
energy relative to the elements	-0.5915	eV/atom


Nb2TeC | PBE-GGA | optimized geometry

```
Nb2TeC
1.0
5.378 0.000 0.000
0.000 5.378 0.000
2.689 2.689 5.763
Nb Te C
4 2 2
Direct
0.502 0.125 0.250
0.248 0.625 0.250
0.375 0.498 0.750
0.875 0.752 0.750
0.000 0.000 0.000
0.750 0.250 0.500
0.500 0.500 0.000
0.250 0.750 0.500
```

## Properties
crystal system	tetragonal
E_form (uncorrected)	0.24	eV per atom
total magnetic moment	0.0	μB/f.u.


Rb3Sm3WS8 | PBE-GGA | optimized geometry

```
Rb3Sm3WS8
1.0
-4.796 -4.647 4.442
7.094 -2.786 -2.496
0.251 6.168 6.724
Rb Sm W S
3 3 1 8
Direct
0.000 0.000 0.000
0.000 0.500 0.000
0.500 0.500 0.000
0.500 0.000 0.500
0.500 0.500 0.500
0.000 0.500 0.500
0.000 0.000 0.500
0.267 0.535 0.303
0.733 0.465 0.697
0.790 0.580 0.319
0.210 0.420 0.681
0.790 0.029 0.319
0.210 0.971 0.681
0.239 0.029 0.319
0.761 0.971 0.681
```

## Properties
crystal system	trigonal
E_form (uncorrected)	-1.48	eV per atom
total magnetic moment	2.0	μB/f.u.


LiCe2Ta | PBE-GGA | optimized geometry

```
LiCe2Ta
1.0
-0.179 0.106 -2.983
2.325 -0.867 -1.669
-3.454 -11.169 -1.690
Li Ce Ta
1 2 1
Direct
0.500 0.500 0.500
0.082 0.082 0.755
0.918 0.918 0.245
0.000 0.000 0.000
```

## Properties
crystal system	trigonal
total magnetic moment	0.0	μB/f.u.
energy relative to the elements	0.3861	eV/atom


Zn2NiMo | PBE-GGA | optimized geometry

```
Zn2NiMo
1.0
4.541 0.000 0.000
0.000 4.541 0.000
0.000 0.000 2.688
Mo Ni Zn
1 1 2
Direct
0.500 0.000 0.500
0.000 0.500 0.500
0.000 0.000 0.000
0.500 0.500 0.000
```

## Properties
polymorph energy (0 for the lowest one)	78.9	kJ/mol of formula units
crystal system	tetragonal
total magnetic moment	0.0	μB/f.u.
energy relative to the elements	0.1480	eV/atom


AcRhCl | PBE-GGA | optimized geometry

```
AcRhCl
1.0
-0.374 -4.272 -1.173
3.642 -2.385 -0.902
1.730 -5.015 9.284
Ac Rh Cl
2 2 2
Direct
0.436 0.436 0.691
0.564 0.564 0.309
0.165 0.165 0.505
0.835 0.835 0.495
0.714 0.714 0.857
0.286 0.286 0.143
```

## Properties
polymorph energy (0 for the lowest one)	0.0	kJ/mol of formula units
crystal system	trigonal
E_form (uncorrected)	-1.43	eV per atom
total magnetic moment	0.0	μB/f.u.


PuNpNb | PBE-GGA | optimized geometry

```
PuNpNb
1.0
-0.232 3.514 -4.575
-6.162 -3.511 -2.383
2.110 6.238 4.684
Nb Pu Np
4 4 4
Direct
0.905 0.800 0.179
0.595 0.800 0.679
0.095 0.200 0.821
0.405 0.200 0.321
0.607 0.396 0.096
0.893 0.396 0.596
0.393 0.604 0.904
0.107 0.604 0.404
0.633 0.204 0.670
0.133 0.796 0.830
0.367 0.796 0.330
0.867 0.204 0.170
```

## Properties
crystal system	monoclinic
total magnetic moment	0.9	μB/f.u.
energy relative to the elements	0.2389	eV/atom


Y2RhCl | PBE-GGA | optimized geometry

```
Y2RhCl
1.0
4.990 0.000 0.000
2.495 4.321 0.000
2.495 1.440 4.074
Cl Rh Y
1 1 2
Direct
0.500 0.500 0.500
0.250 0.250 0.250
0.000 0.000 0.000
0.750 0.750 0.750
```

## Properties
polymorph energy (0 for the lowest one)	452.1	kJ/mol of formula units
crystal system	cubic
E_form (uncorrected)	0.01	eV per atom
total magnetic moment	0.0	μB/f.u.


La4HgIr | PBE-GGA | optimized geometry

```
La4HgIr
1.0
7.168 -0.203 0.000
-1.432 7.609 0.000
-2.868 -3.703 7.688
La Hg Ir
8 2 2
Direct
0.285 0.943 0.570
0.037 0.804 0.076
0.215 0.373 0.430
0.461 0.728 0.924
0.715 0.057 0.430
0.785 0.627 0.570
0.963 0.196 0.924
0.539 0.272 0.076
0.371 0.621 0.241
0.629 0.379 0.759
0.833 0.083 0.165
0.167 0.917 0.835
```

## Properties
polymorph energy (0 for the lowest one)	59.4	kJ/mol of formula units
crystal system	monoclinic
total magnetic moment	0.0	μB/f.u.
energy relative to the elements	-0.4153	eV/atom


CaMgSnPb | PBE-GGA | optimized geometry

```
CaMgSnPb
1.0
5.374 0.000 0.000
2.687 4.654 0.000
2.687 1.551 4.388
Pb Ca Mg Sn
1 1 1 1
Direct
0.750 0.750 0.750
0.000 0.000 0.000
0.500 0.500 0.500
0.250 0.250 0.250
```

## Properties
crystal system	cubic
total magnetic moment	0.0	μB/f.u.
energy relative to the elements	-0.3040	eV/atom


Cs3UCl8 | PBE-GGA | optimized geometry

```
Cs3UCl8
1.0
9.245 0.000 0.000
0.000 9.059 -5.230
0.000 0.000 10.460
Cs U Cl
6 2 16
Direct
0.677 0.693 0.847
0.677 0.153 0.307
0.677 0.153 0.847
0.177 0.307 0.153
0.177 0.847 0.693
0.177 0.847 0.153
0.107 0.333 0.667
0.607 0.667 0.333
0.019 0.060 0.530
0.019 0.470 0.940
0.019 0.470 0.530
0.519 0.940 0.470
0.519 0.530 0.060
0.519 0.530 0.470
0.782 0.443 0.222
0.782 0.778 0.557
0.782 0.778 0.222
0.282 0.557 0.778
0.282 0.222 0.443
0.282 0.222 0.778
0.801 0.333 0.667
0.301 0.667 0.333
0.930 0.000 0.000
0.430 0.000 0.000
```

## Properties
crystal system	hexagonal
E_form (uncorrected)	-1.83	eV per atom
total magnetic moment	1.0	μB/f.u.


TmAsPd6 | PBE-GGA | optimized geometry

```
TmAsPd6
1.0
-0.311 -5.587 -0.053
5.174 1.588 -1.421
-1.119 1.844 5.184
Tm As Pd
1 1 6
Direct
0.000 0.000 0.000
0.500 0.500 0.500
0.246 0.246 0.718
0.717 0.245 0.246
0.754 0.754 0.282
0.755 0.283 0.754
0.283 0.755 0.754
0.245 0.717 0.246
```

## Properties
polymorph energy (0 for the lowest one)	129.0	kJ/mol of formula units
crystal system	monoclinic
total magnetic moment	0.0	μB/f.u.
energy relative to the elements	-0.3822	eV/atom


Sc2AgHg | PBE-GGA | optimized geometry

```
Sc2AgHg
1.0
1.856 0.000 10.680
-0.928 1.607 10.680
-0.928 -1.607 10.680
Sc Hg Ag
2 1 1
Direct
0.906 0.906 0.906
0.094 0.094 0.094
0.000 0.000 0.000
0.500 0.500 0.500
```

## Properties
crystal system	trigonal
total magnetic moment	0.0	μB/f.u.
energy relative to the elements	0.1484	eV/atom


Hg2GeS | PBE-GGA | optimized geometry

```
Hg2GeS
1.0
0.000 3.541 3.541
3.541 0.000 3.541
3.541 3.541 0.000
S Ge Hg
1 1 2
Direct
0.000 0.000 0.000
0.500 0.500 0.500
0.250 0.250 0.250
0.750 0.750 0.750
```

## Properties
polymorph energy (0 for the lowest one)	215.6	kJ/mol of formula units
crystal system	cubic
E_form (uncorrected)	0.46	eV per atom
total magnetic moment	0.0	μB/f.u.


Zr2AgSn | PBE-GGA | optimized geometry

```
Zr2AgSn
1.0
7.898 0.000 0.000
0.000 7.898 0.000
3.949 3.949 2.931
Zr Sn Ag
4 2 2
Direct
0.616 0.125 0.250
0.134 0.625 0.250
0.375 0.384 0.750
0.875 0.866 0.750
0.000 0.000 0.000
0.750 0.250 0.500
0.500 0.500 0.000
0.250 0.750 0.500
```

## Properties
crystal system	tetragonal
total magnetic moment	0.0	μB/f.u.
energy relative to the elements	0.0450	eV/atom


NdGa2GeRh2 | PBE-GGA | optimized geometry

```
NdGa2GeRh2
1.0
4.617 0.000 0.000
0.000 4.617 0.000
0.000 0.000 5.639
Nd Ga Ge Rh
1 2 1 2
Direct
0.000 0.000 0.500
0.500 0.500 0.742
0.500 0.500 0.258
0.000 0.000 0.000
0.500 0.000 0.000
0.000 0.500 0.000
```

## Properties
crystal system	tetragonal
total magnetic moment	0.0	μB/f.u.
energy relative to the elements	-0.4284	eV/atom


no.,calculated total energy (eV per cell)
1,-15.2
2,-57.2
3,-86.8
4,-66.5
5,-17.8
6,-28.9
7,-19.2
8,-97.3
9,-63.1
10,-85.2
11,-24.1
12,-18.6
13,-35.2
14,-146.5
15,-22.1
16,-62.7
17,-12.5
18,-101.2
19,-43.3
20,-15.2
21,-7.5
22,-47.5
23,-32.7